No. 1
# SrAc2NpO6 PBE optimized geometry
data_SrAc2NpO6
_symmetry_space_group_name_H-M 'P 4 m m'
_symmetry_Int_Tables_number 99
_cell_length_a 5.704
_cell_length_b 5.704
_cell_length_c 5.847
_cell_angle_alpha 90.00
_cell_angle_beta 90.00
_cell_angle_gamma 90.00
loop_
_symmetry_equiv_pos_as_xyz
'x,y,z'
'-y,x,z'
'-x,-y,z'
'y,-x,z'
'-x,y,z'
'y,x,z'
'x,-y,z'
'-y,-x,z'
loop_
_atom_site_label
_atom_site_fract_x
_atom_site_fract_y
_atom_site_fract_z
_atom_site_occupancy
Sr1 0.000 0.000 0.000 1
Ac1 0.000 0.500 0.451 1
Np1 0.500 0.500 0.034 1
O1 0.000 0.000 0.591 1
O2 0.263 0.263 0.197 1
O3 0.500 0.500 0.661 1
# * uncorrected formation energy: -2955 meV per atom
# * total energy: -8.214 eV/atom
# * theoretical density: 7.6 Mg/m³



No. 2
# NpTcW PBE optimized geometry
data_NpTcW
_symmetry_space_group_name_H-M 'P n n m'
_symmetry_Int_Tables_number 58
_cell_length_a 5.661
_cell_length_b 13.377
_cell_length_c 2.936
_cell_angle_alpha 90.00
_cell_angle_beta 90.00
_cell_angle_gamma 90.00
loop_
_symmetry_equiv_pos_as_xyz
'x,y,z'
'-x,-y,-z'
'-x,-y,z'
'x,y,-z'
'x+1/2,-y+1/2,-z+1/2'
'-x+1/2,y+1/2,z+1/2'
'-x+1/2,y+1/2,-z+1/2'
'x+1/2,-y+1/2,z+1/2'
loop_
_atom_site_label
_atom_site_fract_x
_atom_site_fract_y
_atom_site_fract_z
_atom_site_occupancy
Np1 0.034 0.181 0.000 1
Tc1 0.233 0.011 0.000 1
W1 0.040 0.376 0.000 1
# * total energy: -11.487 eV/atom
# * energy relative to the elements: 0.599 eV per atom
# * theoretical density: 15.5 Mg/m³



No. 3
# HfZr6Sc8 PBE optimized geometry
data_HfZr6Sc8
_symmetry_space_group_name_H-M 'P 6/m'
_symmetry_Int_Tables_number 175
_symmetry_space_group_name_Hall '-P 6'
_cell_length_a 8.9564
_cell_length_b 8.9564
_cell_length_c 5.1323
_cell_angle_alpha 90.00
_cell_angle_beta 90.00
_cell_angle_gamma 120.00
loop_
_atom_site_label
_atom_site_fract_x
_atom_site_fract_y
_atom_site_fract_z
_atom_site_occupancy
Hf1 0.0000 0.0000 0.0000 1
Zr1 0.1367 0.7116 0.0000 1
Sc1 0.0292 0.3278 0.5000 1
Sc2 0.3333 0.6667 0.5000 1
# * total energy: -7.167 eV/atom
# * energy relative to the elements: 0.292 eV per atom
# * theoretical density: 5.1 Mg/m³